DFT (GGA-PBE) results for a relaxed NaTl2Cd crystal.

Output
V: 30.57 Å³/atom
total magnetization: 0.00 μB per cell
E_tot: -1.73 eV/atom
DFT formation energy: 0.017 eV per atom

Unit cell a=8.6626 b=8.6626 c=6.5176 alpha=90.00 beta=90.00 gamma=90.00
Fractional coordinates of all 16 atoms:
Na: 0.0000 0.0000 0.0000
Na: 0.0000 0.5000 0.2500
Na: 0.5000 0.0000 0.7500
Na: 0.5000 0.5000 0.5000
Tl: 0.2275 0.7500 0.6250
Tl: 0.2500 0.2275 0.3750
Tl: 0.2500 0.2725 0.8750
Tl: 0.2725 0.7500 0.1250
Tl: 0.7275 0.2500 0.1250
Tl: 0.7500 0.7275 0.8750
Tl: 0.7500 0.7725 0.3750
Tl: 0.7725 0.2500 0.6250
Cd: 0.0000 0.0000 0.5000
Cd: 0.0000 0.5000 0.7500
Cd: 0.5000 0.0000 0.2500
Cd: 0.5000 0.5000 0.0000